i:
First-principles (PBE-GGA) data for an optimized crystal structure of LaGaSe2Br, as listed in Alexandria via LeMat-Bulk. Values from VASP.

```
&SYSTEM
  ibrav = 0, nat = 5, ntyp = 4
/
ATOMIC_SPECIES
La 138.91 La.upf
Se 78.96 Se.upf
Br 79.90 Br.upf
Ga 69.72 Ga.upf
CELL_PARAMETERS angstrom
5.745 0.000 0.000
0.000 5.745 0.000
0.000 0.000 5.905
ATOMIC_POSITIONS angstrom
La 0.000 0.000 0.000
Se 0.000 2.873 0.000
Br 0.000 0.000 2.953
Se 2.873 0.000 0.000
Ga 2.873 2.873 2.953
```

---

ii:
First-principles (PBE-GGA) data for an optimized crystal structure of LaGaSe2Br, as listed in Alexandria via LeMat-Bulk. Values from VASP.

```
&SYSTEM
  ibrav = 0, nat = 5, ntyp = 4
/
ATOMIC_SPECIES
Se 78.96 Se.upf
Br 79.90 Br.upf
Ga 69.72 Ga.upf
La 138.91 La.upf
CELL_PARAMETERS angstrom
-0.216 -5.083 0.608
4.131 0.186 3.025
-2.967 0.606 4.014
ATOMIC_POSITIONS angstrom
Se -0.108 -2.542 0.304
Se 2.066 0.093 1.513
Br -1.483 0.303 2.007
Ga 0.000 0.000 0.000
La 0.474 -2.145 3.824
```

---

iii:
First-principles (PBE-GGA) data for an optimized crystal structure of LaGaSe2Br, as listed in Alexandria via LeMat-Bulk. Values from VASP.

```
&SYSTEM
  ibrav = 0, nat = 5, ntyp = 4
/
ATOMIC_SPECIES
La 138.91 La.upf
Br 79.90 Br.upf
Ga 69.72 Ga.upf
Se 78.96 Se.upf
CELL_PARAMETERS angstrom
5.559 0.000 0.000
0.000 5.559 0.000
0.000 0.000 15.842
ATOMIC_POSITIONS angstrom
La 0.000 0.000 0.000
Br 2.780 2.780 7.921
Ga 0.000 0.000 7.921
Se 2.780 0.000 0.000
Se 0.000 2.780 0.000
```

---

Top of the stability list: ii, leading by 78 meV per atom.

---

i:
First-principles (PBE-GGA) data for an optimized crystal structure of LiGa2Br, as listed in Alexandria via LeMat-Bulk. Values from VASP.

```
&SYSTEM
  ibrav = 0, nat = 8, ntyp = 3
/
ATOMIC_SPECIES
Li 6.94 Li.upf
Br 79.90 Br.upf
Ga 69.72 Ga.upf
CELL_PARAMETERS angstrom
3.781 0.000 -0.001
0.000 3.781 0.001
0.432 0.923 13.632
ATOMIC_POSITIONS angstrom
Li 2.962 0.597 0.522
Br 1.072 2.484 0.872
Li 1.501 3.406 11.882
Ga 1.991 3.015 4.917
Ga 3.881 1.125 4.931
Br 3.393 1.517 11.530
Ga 3.864 3.037 7.440
Ga 1.974 1.146 7.442
```

---

ii:
First-principles (PBE-GGA) data for an optimized crystal structure of LiGa2Br, as listed in Alexandria via LeMat-Bulk. Values from VASP.

```
&SYSTEM
  ibrav = 0, nat = 16, ntyp = 3
/
ATOMIC_SPECIES
Li 6.94 Li.upf
Ga 69.72 Ga.upf
Br 79.90 Br.upf
CELL_PARAMETERS angstrom
13.248 0.000 0.025
0.000 4.073 0.000
-1.273 0.000 7.103
ATOMIC_POSITIONS angstrom
Li 3.180 2.037 2.209
Li 2.543 0.000 5.760
Ga 10.396 2.037 1.080
Ga 12.350 2.037 3.925
Ga 11.647 0.000 2.546
Br 5.030 0.000 6.207
Ga 12.986 0.000 0.373
Ga 8.968 0.000 2.106
Li 6.440 0.000 4.036
Ga 8.332 2.037 5.658
Li 7.076 2.037 0.484
Br 1.876 2.037 4.395
Br 5.666 2.037 2.655
Br 2.512 0.000 0.843
Ga 11.010 2.037 6.098
Ga 9.760 0.000 4.632
```

---

Top of the stability list: i, leading by 17 meV per atom.

---

i:
First-principles (PBE-GGA) data for an optimized crystal structure of LiGa2Br, as listed in Alexandria via LeMat-Bulk. Values from VASP.

```
&SYSTEM
  ibrav = 0, nat = 8, ntyp = 3
/
ATOMIC_SPECIES
Ga 69.72 Ga.upf
Br 79.90 Br.upf
Li 6.94 Li.upf
CELL_PARAMETERS angstrom
-1.860 -0.975 3.459
-1.149 -4.306 0.669
10.176 -3.876 6.647
ATOMIC_POSITIONS angstrom
Ga 2.394 -6.280 5.768
Ga 5.170 -6.037 4.963
Br 0.146 -2.842 3.124
Li 7.987 -6.200 8.705
Ga 3.134 -4.324 4.372
Li -0.175 -4.828 4.768
Br 8.399 -4.225 7.107
Ga 5.729 -3.710 5.762
```

---

ii:
First-principles (PBE-GGA) data for an optimized crystal structure of LiGa2Br, as listed in Alexandria via LeMat-Bulk. Values from VASP.

```
&SYSTEM
  ibrav = 0, nat = 8, ntyp = 3
/
ATOMIC_SPECIES
Ga 69.72 Ga.upf
Li 6.94 Li.upf
Br 79.90 Br.upf
CELL_PARAMETERS angstrom
4.255 0.001 -0.004
2.128 3.687 -0.003
2.073 -0.941 13.514
ATOMIC_POSITIONS angstrom
Ga 2.623 2.809 2.342
Li 4.721 1.863 7.593
Ga 2.621 0.352 1.311
Br 6.848 3.091 7.108
Li 4.722 -0.597 9.741
Ga 4.751 1.578 3.533
Ga 4.745 1.583 0.116
Br 4.724 1.862 10.235
```

---

Top of the stability list: ii, leading by 26 meV per atom.

---

i:
First-principles (PBE-GGA) data for an optimized crystal structure of LiGa2Br, as listed in Alexandria via LeMat-Bulk. Values from VASP.

```
&SYSTEM
  ibrav = 0, nat = 4, ntyp = 3
/
ATOMIC_SPECIES
Li 6.94 Li.upf
Ga 69.72 Ga.upf
Br 79.90 Br.upf
CELL_PARAMETERS angstrom
-3.401 -3.053 2.490
-0.616 0.449 5.148
-4.389 2.026 1.929
ATOMIC_POSITIONS angstrom
Li 0.000 0.000 0.000
Ga -2.101 -0.144 2.392
Br -4.203 -0.289 4.783
Ga -6.304 -0.433 7.175
```

---

ii:
First-principles (PBE-GGA) data for an optimized crystal structure of LiGa2Br, as listed in Alexandria via LeMat-Bulk. Values from VASP.

```
&SYSTEM
  ibrav = 0, nat = 8, ntyp = 3
/
ATOMIC_SPECIES
Ga 69.72 Ga.upf
Li 6.94 Li.upf
Br 79.90 Br.upf
CELL_PARAMETERS angstrom
-0.691 -1.792 3.595
3.289 -1.305 2.284
2.987 11.388 6.320
ATOMIC_POSITIONS angstrom
Ga 1.232 -1.129 4.270
Li 4.013 7.267 9.052
Br 1.599 6.795 8.362
Ga 0.536 2.059 3.427
Li 1.456 4.471 7.193
Ga 3.254 10.309 8.118
Br 3.806 3.507 7.156
Ga 2.859 0.657 3.163
```

---

iii:
First-principles (PBE-GGA) data for an optimized crystal structure of LiGa2Br, as listed in Alexandria via LeMat-Bulk. Values from VASP.

```
&SYSTEM
  ibrav = 0, nat = 8, ntyp = 3
/
ATOMIC_SPECIES
Li 6.94 Li.upf
Ga 69.72 Ga.upf
Br 79.90 Br.upf
CELL_PARAMETERS angstrom
-3.146 2.907 -0.654
0.037 -0.974 -4.517
-5.909 -8.869 3.422
ATOMIC_POSITIONS angstrom
Li -1.323 -0.391 -1.666
Ga -3.310 -4.998 1.682
Br -3.779 0.145 -1.834
Ga -4.948 -4.292 -1.662
Li -7.002 -6.445 -1.239
Br -6.302 -8.795 -0.704
Ga -5.826 -4.704 0.715
Ga -5.610 -1.695 -1.304
```

---

iv:
First-principles (PBE-GGA) data for an optimized crystal structure of LiGa2Br, as listed in Alexandria via LeMat-Bulk. Values from VASP.

```
&SYSTEM
  ibrav = 0, nat = 4, ntyp = 3
/
ATOMIC_SPECIES
Ga 69.72 Ga.upf
Br 79.90 Br.upf
Li 6.94 Li.upf
CELL_PARAMETERS angstrom
4.343 0.006 0.013
2.172 3.763 0.024
2.165 1.261 6.048
ATOMIC_POSITIONS angstrom
Ga 4.835 2.232 3.470
Br 2.642 0.990 0.369
Li 2.648 3.495 1.413
Ga 2.663 0.976 3.346
```

---

Top of the stability list: ii, leading by 75 meV per atom.